No. 1
Here is a relaxed KBaNaEu crystal from the Alexandria database. Energies are from PBE.

```
4
Lattice="6.7407 0.0000 0.0000 3.3704 5.8376 0.0000 3.3704 1.9459 5.5038" Properties=species:S:1:pos:R:3 pbc="T T T"
Eu 3.3704 1.9459 1.3759
Na 0.0000 0.0000 0.0000
K 6.7407 3.8918 2.7519
Ba 10.1111 5.8376 4.1278
```

## Properties
crystal system	cubic
formation enthalpy at 0 K	166	meV/atom

---

No. 2
Here is a relaxed Pa2CoCuSi crystal from the Alexandria database. Energies are from PBE.

```
10
Lattice="-0.7987 1.6265 -3.4329 -3.7059 -5.3227 -1.6597 -4.5715 4.4220 3.1587" Properties=species:S:1:pos:R:3 pbc="T T T"
Pa -6.8386 -0.8496 -2.1035
Pa -3.2558 -2.3044 -3.6263
Pa -2.2375 1.5754 0.1697
Pa -5.8203 3.0302 1.6925
Co -7.6694 -0.4491 0.4742
Co -1.4067 1.1749 -2.4081
Cu -4.1630 -1.4124 -0.7980
Cu -4.9131 2.1381 -1.1359
Si -5.4588 0.3387 0.3331
Si -3.6174 0.3871 -2.2670
```

## Properties
crystal system	monoclinic
raw formation energy	-0.32	eV per atom

---

No. 3
Here is a relaxed OsSeBrN2 crystal from the Alexandria database. Energies are from PBE.

```
5
Lattice="3.8309 0.0000 0.0000 0.0000 3.8309 0.0000 0.0000 0.0000 5.5877" Properties=species:S:1:pos:R:3 pbc="T T T"
Os 0.0000 0.0000 0.0000
Se 0.0000 0.0000 2.7938
Br 1.9155 1.9155 2.7938
N 0.0000 1.9155 0.0000
N 1.9155 0.0000 0.0000
```

## Properties
crystal system	tetragonal
excess energy over the best structure of this formula in the dataset	0	meV per atom
raw formation energy	0.71	eV per atom

---

No. 4
Here is a relaxed TaIr4 crystal from the Alexandria database. Energies are from PBE.

```
5
Lattice="-1.8192 1.8192 6.2948 1.8192 -1.8192 6.2948 1.8192 1.8192 -6.2948" Properties=species:S:1:pos:R:3 pbc="T T T"
Ta 0.0000 0.0000 0.0000
Ir 1.8192 0.0000 3.1474
Ir 0.0000 0.0000 7.5254
Ir 0.0000 0.0000 5.0643
Ir 0.0000 1.8192 3.1474
```

## Properties
crystal system	tetragonal
formation enthalpy at 0 K	115	meV/atom
excess energy over the best structure of this formula in the dataset	502	meV per atom

---

No. 5
Here is a relaxed CeTcH4 crystal from the Alexandria database. Energies are from PBE.

```
12
Lattice="-1.6070 -0.3561 -3.4148 -1.6643 -4.5364 1.2562 -4.3790 2.6824 3.8851" Properties=species:S:1:pos:R:3 pbc="T T T"
Ce -5.0696 -1.5557 2.5479
Ce -2.5807 -0.6544 -0.8214
Tc -2.2940 -2.8970 1.3816
Tc -5.3563 0.6869 0.3449
H -2.9086 -1.2770 1.5019
H -4.7417 -0.9330 0.2246
H -3.7331 -3.5244 2.1243
H -3.9172 1.3143 -0.3977
H -3.0431 -3.1012 -0.3486
H -4.6072 0.8912 2.0752
H -0.8321 -2.2682 0.6281
H 0.0000 0.0000 0.0000
```

## Properties
crystal system	orthorhombic
excess energy over the best structure of this formula in the dataset	0	meV per atom

---

No. 6
Here is a relaxed Ga4H12C15O31 crystal from the Alexandria database. Energies are from PBE.

```
62
Lattice="0.8223 -10.0701 -0.6741 -9.3984 2.7959 -2.5279 6.6264 4.3567 -6.2967" Properties=species:S:1:pos:R:3 pbc="T T T"
Ga -4.6992 1.3980 -1.2639
Ga 3.3132 2.1784 -3.1483
Ga 0.4111 -5.0351 -0.3370
Ga -0.9749 -1.4588 -4.7493
H 0.7589 -3.6420 -6.0104
H -3.7179 3.3284 -6.7008
H 1.7681 -6.2459 -2.7978
H -2.7087 0.7245 -3.4882
H -0.8098 0.6128 -6.9953
H -4.2621 -6.1785 -3.6691
H 2.3123 3.2610 -5.8296
H -1.1400 -3.5303 -2.5034
H -3.7276 -2.6248 -5.4019
H 4.4895 -2.3727 -6.6344
H -6.4393 -0.5448 -2.8642
H 1.7779 -0.2928 -4.0967
C 0.9730 -2.7056 -6.5493
C 5.0262 0.7323 -5.0359
C -6.9760 -3.6498 -4.4627
C -2.9227 -0.2119 -2.9494
C -1.8681 0.3243 -6.8967
C -5.3885 3.0246 -3.6022
C 3.4387 -5.9421 -5.8964
C -0.0817 -3.2418 -2.6019
C -2.9957 -3.4407 -5.5088
C -1.6855 -6.8211 -1.3382
C -0.2642 3.9036 -8.1605
C 1.0459 0.5232 -3.9898
C -1.3860 3.5763 -4.4123
C -4.2881 -3.6371 -1.6010
C 3.7243 -2.8567 -3.4854
O 1.7976 -2.7089 -7.5183
O 3.9485 1.3887 -4.8726
O -7.3056 -3.2267 -3.3089
O -2.3399 -1.2881 -3.2975
O -2.7364 0.8328 -7.6754
O -5.3032 1.8519 -3.1158
O 3.8772 -6.1209 -4.7154
O 0.2629 -2.3989 -3.4906
O -3.3858 -4.5951 -5.8749
O -0.6153 -6.1883 -1.6085
O 0.2859 4.6453 -7.2851
O -0.1844 0.3032 -4.2287
O -3.7473 -0.2086 -1.9804
O -5.8982 -4.3062 -4.6260
O 5.3559 0.3092 -6.1897
O 0.3902 -1.6294 -6.2012
O 0.7867 -3.7503 -1.8232
O 3.3534 -4.7694 -6.3828
O -5.8269 3.2034 -4.7832
O -2.2127 -0.5186 -6.0080
O 1.4361 1.6776 -3.6237
O -1.3345 3.2708 -7.8901
O -2.2357 -7.5628 -2.2136
O -1.7654 -3.2207 -5.2699
O 0.2981 -5.7628 -4.7646
O -2.2479 2.8453 -4.7341
O 1.5898 1.2937 -7.1972
O -3.5395 -4.2113 -2.3015
O -5.3955 -0.7796 -5.1265
O 3.4458 -2.1379 -4.3722
O 0.0000 0.0000 0.0000
```

## Properties
crystal system	cubic
uncorrected energy	-408.2	eV per formula unit